1.
DFT (PBE) results for Sc2SbRh after structural relaxation.

## Properties
The raw formation energy is -0.43 eV/atom. The electronic total energy comes out at -6.46 eV/atom. The density of states at the Fermi level is 4.614 states/eV/f.u.

a = 3.251 Å, b = 3.251 Å, c = 7.839 Å
α = 90.00°, β = 90.00°, γ = 90.00°
Positions (direct):
Sc 0.000 0.000 0.000
Sc 0.500 0.500 0.314
Sb 0.500 0.500 0.735
Rh 0.000 0.000 0.525

2.
DFT (PBE) results for ScSb2Rh2 after structural relaxation.

## Properties
The raw formation energy is -0.70 eV/atom. The electronic total energy comes out at -6.55 eV/atom. The density of states at the Fermi level is 3.488 states/eV/f.u.

a = 4.429 Å, b = 4.647 Å, c = 9.678 Å
α = 90.00°, β = 90.02°, γ = 90.00°
Positions (direct):
Sc 0.249 0.250 0.325
Sc 0.751 0.750 0.675
Sb 0.249 0.250 0.666
Sb 0.250 0.250 0.008
Sb 0.750 0.750 0.992
Sb 0.751 0.750 0.334
Rh 0.250 0.750 0.170
Rh 0.253 0.750 0.510
Rh 0.747 0.250 0.490
Rh 0.750 0.250 0.830